1.
The following is a PBE-GGA calculation of a relaxed LaMgCu2 crystal, from the Alexandria database.

Unit cell a=3.3686 b=3.4064 c=6.9386 alpha=90.00 beta=90.00 gamma=90.00
Atoms (fractional coordinates):
La 0.0000 0.0000 0.0000
Mg 0.0000 0.0000 0.5000
Cu 0.5000 0.5000 0.3014
Cu 0.5000 0.5000 0.6986

## Properties
Mass density: 6.05 g/cm3
Formation energy: -0.077 eV per atom



2.
The following is a PBE-GGA calculation of a relaxed La2MgCu crystal, from the Alexandria database.

Unit cell a=3.4961 b=3.4961 c=8.7655 alpha=90.00 beta=90.00 gamma=90.00
Atoms (fractional coordinates):
La 0.0000 0.0000 0.0000
La 0.5000 0.5000 0.3378
Mg 0.0000 0.0000 0.6217
Cu 0.5000 0.5000 0.7777

## Properties
Mass density: 5.67 g/cm3
Formation energy: -0.021 eV per atom



3.
The following is a PBE-GGA calculation of a relaxed LaMgCu2 crystal, from the Alexandria database.

Unit cell a=3.9207 b=4.2489 c=5.5387 alpha=90.00 beta=110.69 gamma=90.00
Atoms (fractional coordinates):
La 0.0000 0.0000 0.0000
Mg 0.7146 0.5000 0.4284
Cu 0.2824 0.0000 0.5609
Cu 0.4067 0.5000 0.8120

## Properties
Mass density: 5.58 g/cm3
Formation energy: -0.128 eV per atom



4.
The following is a PBE-GGA calculation of a relaxed LaMg2Cu2 crystal, from the Alexandria database.

Unit cell a=4.1640 b=4.1640 c=12.2936 alpha=90.00 beta=90.00 gamma=90.00
Atoms (fractional coordinates):
La 0.0000 0.0000 0.0000
La 0.5000 0.5000 0.5000
Mg 0.0000 0.5000 0.2500
Mg 0.0000 0.5000 0.7500
Mg 0.5000 0.0000 0.2500
Mg 0.5000 0.0000 0.7500
Cu 0.0000 0.0000 0.3980
Cu 0.0000 0.0000 0.6020
Cu 0.5000 0.5000 0.1020
Cu 0.5000 0.5000 0.8980

## Properties
Mass density: 4.90 g/cm3
Formation energy: -0.160 eV per atom



5.
The following is a PBE-GGA calculation of a relaxed LaMgCu2 crystal, from the Alexandria database.

Unit cell a=4.7236 b=4.7236 c=17.5637 alpha=90.00 beta=90.00 gamma=90.00
Atoms (fractional coordinates):
La 0.0000 0.2500 0.3750
La 0.0000 0.7500 0.6250
La 0.5000 0.2500 0.1250
La 0.5000 0.7500 0.8750
Mg 0.0000 0.2500 0.8750
Mg 0.0000 0.7500 0.1250
Mg 0.5000 0.2500 0.6250
Mg 0.5000 0.7500 0.3750
Cu 0.0000 0.0000 0.0000
Cu 0.0000 0.5000 0.0000
Cu 0.2500 0.2500 0.7500
Cu 0.2500 0.7500 0.2500
Cu 0.5000 0.0000 0.5000
Cu 0.5000 0.5000 0.5000
Cu 0.7500 0.2500 0.7500
Cu 0.7500 0.7500 0.2500

## Properties
Mass density: 4.92 g/cm3
Formation energy: 0.173 eV per atom



6.
The following is a PBE-GGA calculation of a relaxed La2MgCu crystal, from the Alexandria database.

Unit cell a=7.3625 b=7.3625 c=7.3625 alpha=90.00 beta=90.00 gamma=90.00
Atoms (fractional coordinates):
La 0.0000 0.0000 0.0000
La 0.0000 0.5000 0.5000
La 0.2500 0.2500 0.2500
La 0.2500 0.7500 0.7500
La 0.5000 0.0000 0.5000
La 0.5000 0.5000 0.0000
La 0.7500 0.2500 0.7500
La 0.7500 0.7500 0.2500
Mg 0.0000 0.0000 0.5000
Mg 0.0000 0.5000 0.0000
Mg 0.5000 0.0000 0.0000
Mg 0.5000 0.5000 0.5000
Cu 0.2500 0.2500 0.7500
Cu 0.2500 0.7500 0.2500
Cu 0.7500 0.2500 0.2500
Cu 0.7500 0.7500 0.7500

## Properties
Mass density: 6.09 g/cm3
Formation energy: 0.120 eV per atom



7.
The following is a PBE-GGA calculation of a relaxed LaMgCu3 crystal, from the Alexandria database.

Unit cell a=5.1890 b=5.1890 c=5.1890 alpha=90.00 beta=90.00 gamma=90.00
Atoms (fractional coordinates):
La 0.0000 0.0000 0.0000
Mg 0.5000 0.5000 0.5000
Cu 0.0000 0.0000 0.5000
Cu 0.0000 0.5000 0.0000
Cu 0.5000 0.0000 0.0000

## Properties
Mass density: 4.21 g/cm3
Formation energy: 0.991 eV per atom



8.
The following is a PBE-GGA calculation of a relaxed LaMg3Cu3 crystal, from the Alexandria database.

Unit cell a=6.9236 b=6.9236 c=6.9236 alpha=90.00 beta=90.00 gamma=90.00
Atoms (fractional coordinates):
La 0.0000 0.0000 0.0000
La 0.5000 0.5000 0.5000
Mg 0.0000 0.2500 0.5000
Mg 0.0000 0.7500 0.5000
Mg 0.2500 0.5000 0.0000
Mg 0.5000 0.0000 0.2500
Mg 0.5000 0.0000 0.7500
Mg 0.7500 0.5000 0.0000
Cu 0.0000 0.5000 0.2500
Cu 0.0000 0.5000 0.7500
Cu 0.2500 0.0000 0.5000
Cu 0.5000 0.2500 0.0000
Cu 0.5000 0.7500 0.0000
Cu 0.7500 0.0000 0.5000

## Properties
Mass density: 4.03 g/cm3
Formation energy: 0.307 eV per atom



9.
The following is a PBE-GGA calculation of a relaxed La2MgCu crystal, from the Alexandria database.

Unit cell a=12.2493 b=3.6947 c=5.2801 alpha=90.00 beta=115.50 gamma=90.00
Atoms (fractional coordinates):
La 0.0000 0.0000 0.0000
La 0.1948 0.0000 0.6945
La 0.5000 0.5000 0.0000
La 0.6948 0.5000 0.6945
Mg 0.2914 0.5000 0.2908
Mg 0.7914 0.0000 0.2908
Cu 0.4678 0.0000 0.4691
Cu 0.9678 0.5000 0.4691

## Properties
Mass density: 5.63 g/cm3
Formation energy: -0.074 eV per atom



10.
The following is a PBE-GGA calculation of a relaxed LaMg6Cu6 crystal, from the Alexandria database.

Unit cell a=7.0814 b=7.0814 c=7.0814 alpha=136.39 beta=98.29 gamma=97.57
Atoms (fractional coordinates):
La 0.0000 0.0000 0.0000
Mg 0.1954 0.6954 0.5000
Mg 0.3401 0.0000 0.3401
Mg 0.3480 0.3480 0.0000
Mg 0.6520 0.6520 0.0000
Mg 0.6599 0.0000 0.6599
Mg 0.8046 0.3046 0.5000
Cu 0.0000 0.0000 0.5000
Cu 0.0000 0.5000 0.0000
Cu 0.2287 0.5000 0.7287
Cu 0.5000 0.0000 0.0000
Cu 0.5000 0.5000 0.5000
Cu 0.7713 0.5000 0.2713

## Properties
Mass density: 4.86 g/cm3
Formation energy: -0.111 eV per atom



11.
The following is a PBE-GGA calculation of a relaxed LaMg2Cu2 crystal, from the Alexandria database.

Unit cell a=4.7535 b=4.7535 c=9.6667 alpha=90.00 beta=90.00 gamma=90.00
Atoms (fractional coordinates):
La 0.0000 0.0000 0.0000
La 0.5000 0.5000 0.5000
Mg 0.0000 0.0000 0.3548
Mg 0.0000 0.0000 0.6452
Mg 0.5000 0.5000 0.1452
Mg 0.5000 0.5000 0.8548
Cu 0.0000 0.5000 0.2500
Cu 0.0000 0.5000 0.7500
Cu 0.5000 0.0000 0.2500
Cu 0.5000 0.0000 0.7500

## Properties
Mass density: 4.78 g/cm3
Formation energy: -0.036 eV per atom



12.
The following is a PBE-GGA calculation of a relaxed La2MgCu crystal, from the Alexandria database.

Unit cell a=3.6715 b=4.7072 c=6.6791 alpha=90.00 beta=105.88 gamma=90.00
Atoms (fractional coordinates):
La 0.0000 0.0000 0.0000
La 0.3170 0.5000 0.6356
Mg 0.6048 0.5000 0.2096
Cu 0.7241 0.0000 0.4484

## Properties
Mass density: 5.47 g/cm3
Formation energy: -0.024 eV per atom



Number 1: V 80 Å³/cell. Number 2: V 107 Å³/cell. Number 3: V 86 Å³/cell. Number 4: V 213 Å³/cell. Number 5: V 392 Å³/cell. Number 6: V 399 Å³/cell. Number 7: V 140 Å³/cell. Number 8: V 332 Å³/cell. Number 9: V 216 Å³/cell. Number 10: V 227 Å³/cell. Number 11: V 218 Å³/cell. Number 12: V 111 Å³/cell.